Record 1
First-principles (PBE) data for LaPr7Tl4 after structural relaxation, as listed in Alexandria via LeMat-Bulk.

The density of states at the Fermi level comes out at 12.9 states/eV/f.u. Its total DFT energy (no corrections) is -4.078 eV per atom. For the magnetic moment, the calculation gives 0.018 μB per atom. The energy of formation is -1.09 eV per formula unit. The theoretical density is 8.0 Mg/m³.

a b c (Å): 14.996 5.966 10.798
angles (deg): 90.00 123.16 90.00
Space group C2/m (No. 12)
Unique sites:
La1 0.000 0.000 0.000 (multiplicity 2)
Pr1 0.000 0.500 0.000 (multiplicity 2)
Pr2 0.061 0.000 0.393 (multiplicity 4)
Pr3 0.204 0.000 0.882 (multiplicity 4)
Pr4 0.222 0.500 0.658 (multiplicity 4)
Tl1 0.058 0.500 0.749 (multiplicity 4)
Tl2 0.187 0.500 0.332 (multiplicity 4)

Record 2
First-principles (PBE) data for AlB4W after structural relaxation, as listed in Alexandria via LeMat-Bulk.

The density of states at the Fermi level comes out at 2.5 states/eV/f.u. Its total DFT energy (no corrections) is -7.348 eV per atom. For the magnetic moment, the calculation gives 0.000 μB per atom. The energy of formation is -0.69 eV per formula unit. The theoretical density is 8.1 Mg/m³.

a b c (Å): 7.409 5.189 2.963
angles (deg): 90.00 113.37 90.00
Space group C2/m (No. 12)
Unique sites:
Al1 0.000 0.000 0.000 (multiplicity 2)
B1 0.242 0.164 0.742 (multiplicity 8)
W1 0.000 0.500 0.500 (multiplicity 2)

Record 3
First-principles (PBE) data for TaInSe2Br after structural relaxation, as listed in Alexandria via LeMat-Bulk.

The offset from the most stable computed form comes out at 0 meV per atom. The density of states at the Fermi level comes out at 2.3 states/eV/f.u. Its total DFT energy (no corrections) is -5.011 eV per atom. For the magnetic moment, the calculation gives 0.000 μB per atom. The theoretical density is 6.5 Mg/m³. For the uncorrected formation energy, the calculation gives -35.2 kJ/mol of atoms.

a b c (Å): 5.089 5.089 5.243
angles (deg): 90.00 90.00 90.00
Space group P4/mmm (No. 123)
Unique sites:
Ta1 0.000 0.000 0.000 (multiplicity 1)
In1 0.500 0.500 0.500 (multiplicity 1)
Se1 0.000 0.500 0.000 (multiplicity 2)
Br1 0.000 0.000 0.500 (multiplicity 1)

Record 4
First-principles (PBE) data for VSiAg after structural relaxation, as listed in Alexandria via LeMat-Bulk.

The density of states at the Fermi level comes out at 2.4 states/eV/f.u. Its total DFT energy (no corrections) is -5.638 eV per atom. For the magnetic moment, the calculation gives 0.135 μB per atom. The theoretical density is 5.8 Mg/m³. For the uncorrected formation energy, the calculation gives 15.4 kJ/mol of atoms.

a b c (Å): 5.076 8.671 9.703
angles (deg): 90.00 90.00 90.00
Space group Fmmm (No. 69)
Unique sites:
V1 0.250 0.250 0.250 (multiplicity 8)
Si1 0.000 0.000 0.240 (multiplicity 8)
Ag1 0.000 0.171 0.000 (multiplicity 8)

Record 5
First-principles (PBE) data for Dy5YMg after structural relaxation, as listed in Alexandria via LeMat-Bulk.

The offset from the most stable computed form comes out at 0 meV per atom. The density of states at the Fermi level comes out at 8.5 states/eV/f.u. Its total DFT energy (no corrections) is -4.422 eV per atom. For the magnetic moment, the calculation gives 0.000 μB per atom. The energy of formation is 0.11 eV per formula unit. The theoretical density is 7.2 Mg/m³.

a b c (Å): 11.929 5.459 13.185
angles (deg): 90.00 94.76 90.00
Space group C2/m (No. 12)
Unique sites:
Dy1 0.064 0.000 0.132 (multiplicity 4)
Dy2 0.065 0.000 0.632 (multiplicity 4)
Dy3 0.138 0.500 0.804 (multiplicity 4)
Dy4 0.242 0.000 0.427 (multiplicity 4)
Dy5 0.242 0.000 0.927 (multiplicity 4)
Y1 0.136 0.500 0.303 (multiplicity 4)
Mg1 0.000 0.500 0.000 (multiplicity 2)
Mg2 0.000 0.500 0.500 (multiplicity 2)

Record 6
First-principles (PBE) data for In2AgW after structural relaxation, as listed in Alexandria via LeMat-Bulk.

The offset from the most stable computed form comes out at 132 meV per atom. The density of states at the Fermi level comes out at 1.9 states/eV/f.u. Its total DFT energy (no corrections) is -4.783 eV per atom. For the magnetic moment, the calculation gives 0.000 μB per atom. The energy of formation is 2.15 eV per formula unit. The theoretical density is 11.1 Mg/m³.

a b c (Å): 9.570 2.942 5.644
angles (deg): 90.00 100.61 90.00
Space group C2/m (No. 12)
Unique sites:
In1 0.250 0.000 0.241 (multiplicity 4)
Ag1 0.000 0.000 0.500 (multiplicity 2)
W1 0.000 0.500 0.000 (multiplicity 2)

Record 7
First-principles (PBE) data for La6Tb2Hg after structural relaxation, as listed in Alexandria via LeMat-Bulk.

The density of states at the Fermi level comes out at 14.2 states/eV/f.u. Its total DFT energy (no corrections) is -4.444 eV per atom. For the magnetic moment, the calculation gives 0.000 μB per atom. The energy of formation is -0.87 eV per formula unit. The theoretical density is 7.2 Mg/m³.

a b c (Å): 3.723 17.001 9.826
angles (deg): 90.00 90.00 90.00
Space group Amm2 (No. 38)
Unique sites:
La1 0.000 0.000 0.000 (multiplicity 2)
La2 0.000 0.139 0.583 (multiplicity 4)
La3 0.500 0.000 0.348 (multiplicity 2)
La4 0.500 0.187 0.909 (multiplicity 4)
Tb1 0.000 0.167 0.222 (multiplicity 4)
Hg1 0.500 0.000 0.722 (multiplicity 2)

Record 8
First-principles (PBE) data for LiHoTm2Tl4 after structural relaxation, as listed in Alexandria via LeMat-Bulk.

The density of states at the Fermi level comes out at 4.4 states/eV/f.u. Its total DFT energy (no corrections) is -3.414 eV per atom. For the magnetic moment, the calculation gives 0.000 μB per atom. The energy of formation is -2.41 eV per formula unit. The theoretical density is 10.8 Mg/m³.

a b c (Å): 5.1998 5.1998 26.2416
angles (deg): 90.00 90.00 120.00
Space group R-3m (No. 166, hexagonal axes)
Unique sites:
Li1 0.0000 0.0000 0.0000 (multiplicity 3)
Ho1 0.0000 0.0000 0.5000 (multiplicity 3)
Tm1 0.0000 0.0000 0.2537 (multiplicity 6)
Tl1 0.0000 0.0000 0.1224 (multiplicity 6)
Tl2 0.0000 0.0000 0.3724 (multiplicity 6)

Record 9
First-principles (PBE) data for LaTb2ZrN4 after structural relaxation, as listed in Alexandria via LeMat-Bulk.

The density of states at the Fermi level comes out at 1.3 states/eV/f.u. Its total DFT energy (no corrections) is -8.547 eV per atom. For the magnetic moment, the calculation gives 0.000 μB per atom. The theoretical density is 8.3 Mg/m³. For the uncorrected formation energy, the calculation gives -148.8 kJ/mol of atoms.

a b c (Å): 6.012 3.480 6.098
angles (deg): 90.00 109.18 90.00
Space group P2/m (No. 10)
Unique sites:
La1 0.000 0.000 0.000 (multiplicity 1)
Tb1 0.500 0.000 0.500 (multiplicity 1)
Tb2 0.500 0.500 0.000 (multiplicity 1)
Zr1 0.000 0.500 0.500 (multiplicity 1)
N1 0.240 0.000 0.731 (multiplicity 2)
N2 0.248 0.500 0.273 (multiplicity 2)

Record 10
First-principles (PBE) data for Rb2MnCdIr after structural relaxation, as listed in Alexandria via LeMat-Bulk.

The density of states at the Fermi level comes out at 8.3 states/eV/f.u. Its total DFT energy (no corrections) is -2.693 eV per atom. For the magnetic moment, the calculation gives 0.933 μB per atom. The energy of formation is 7.41 eV per formula unit. The theoretical density is 4.2 Mg/m³.

a b c (Å): 6.392 6.392 5.184
angles (deg): 90.00 90.00 90.00
Space group P4/mmm (No. 123)
Unique sites:
Rb1 0.000 0.500 0.000 (multiplicity 2)
Mn1 0.000 0.000 0.000 (multiplicity 1)
Cd1 0.000 0.000 0.500 (multiplicity 1)
Ir1 0.500 0.500 0.500 (multiplicity 1)

Record 11
First-principles (PBE) data for Cs3AsAu after structural relaxation, as listed in Alexandria via LeMat-Bulk.

The offset from the most stable computed form comes out at 0 meV per atom. The density of states at the Fermi level comes out at 2.1 states/eV/f.u. Its total DFT energy (no corrections) is -2.401 eV per atom. For the magnetic moment, the calculation gives 0.000 μB per atom. The energy of formation is -1.52 eV per formula unit. The theoretical density is 4.8 Mg/m³.

a b c (Å): 6.637 7.022 10.751
angles (deg): 88.53 77.57 72.52
Space group P-1 (No. 2)
Unique sites:
Cs1 0.155 0.266 0.180 (multiplicity 2)
Cs2 0.243 0.685 0.418 (multiplicity 2)
Cs3 0.261 0.119 0.804 (multiplicity 2)
As1 0.369 0.150 0.466 (multiplicity 2)
Au1 0.339 0.698 0.041 (multiplicity 2)

Record 12
First-principles (PBE) data for Rb3Mg2NpTe6 after structural relaxation, as listed in Alexandria via LeMat-Bulk.

The density of states at the Fermi level comes out at 8.3 states/eV/f.u. Its total DFT energy (no corrections) is -3.989 eV per atom. For the magnetic moment, the calculation gives 0.165 μB per atom. The theoretical density is 5.0 Mg/m³. For the uncorrected formation energy, the calculation gives -80.3 kJ/mol of atoms.

a b c (Å): 7.699 13.336 8.868
angles (deg): 90.00 106.82 90.00
Space group C2/m (No. 12)
Unique sites:
Rb1 0.000 0.000 0.000 (multiplicity 2)
Rb2 0.000 0.332 0.000 (multiplicity 4)
Mg1 0.000 0.167 0.500 (multiplicity 4)
Np1 0.000 0.500 0.500 (multiplicity 2)
Te1 0.230 0.334 0.691 (multiplicity 8)
Te2 0.231 0.000 0.691 (multiplicity 4)

Record 13
First-principles (PBE) data for Li2CrCd after structural relaxation, as listed in Alexandria via LeMat-Bulk.

The density of states at the Fermi level comes out at 1.6 states/eV/f.u. Its total DFT energy (no corrections) is -3.398 eV per atom. For the magnetic moment, the calculation gives 1.050 μB per atom. The energy of formation is 0.78 eV per formula unit. The theoretical density is 4.2 Mg/m³.

a b c (Å): 4.155 4.155 8.211
angles (deg): 90.00 90.00 90.00
Space group I-4m2 (No. 119)
Unique sites:
Li1 0.000 0.000 0.000 (multiplicity 2)
Li2 0.000 0.500 0.250 (multiplicity 2)
Cr1 0.000 0.000 0.500 (multiplicity 2)
Cd1 0.000 0.500 0.750 (multiplicity 2)

Record 14
First-principles (PBE) data for CoSiAs2 after structural relaxation, as listed in Alexandria via LeMat-Bulk.

The density of states at the Fermi level comes out at 1.6 states/eV/f.u. Its total DFT energy (no corrections) is -5.441 eV per atom. For the magnetic moment, the calculation gives 0.000 μB per atom. The theoretical density is 5.8 Mg/m³. For the uncorrected formation energy, the calculation gives 1.5 kJ/mol of atoms.

a b c (Å): 3.331 3.496 11.584
angles (deg): 90.00 90.00 90.00
Space group Immm (No. 71)
Unique sites:
Co1 0.000 0.000 0.000 (multiplicity 2)
Si1 0.000 0.000 0.500 (multiplicity 2)
As1 0.000 0.500 0.344 (multiplicity 4)

Record 15
First-principles (PBE) data for Ce6Mg23C after structural relaxation, as listed in Alexandria via LeMat-Bulk.

The density of states at the Fermi level comes out at 48.2 states/eV/f.u. Its total DFT energy (no corrections) is -2.755 eV per atom. For the magnetic moment, the calculation gives 0.189 μB per atom. The energy of formation is -1.15 eV per formula unit. The theoretical density is 3.2 Mg/m³.

a b c (Å): 14.359 14.359 14.359
angles (deg): 90.00 90.00 90.00
Space group Fm-3m (No. 225)
Unique sites:
Ce1 0.000 0.000 0.179 (multiplicity 24)
Mg1 0.000 0.000 0.500 (multiplicity 4)
Mg2 0.000 0.250 0.250 (multiplicity 24)
Mg3 0.120 0.120 0.380 (multiplicity 32)
Mg4 0.171 0.171 0.171 (multiplicity 32)
C1 0.000 0.000 0.000 (multiplicity 4)

Record 16
First-principles (PBE) data for CaIn2Tc after structural relaxation, as listed in Alexandria via LeMat-Bulk.

The offset from the most stable computed form comes out at 220 meV per atom. The density of states at the Fermi level comes out at 2.6 states/eV/f.u. Its total DFT energy (no corrections) is -4.223 eV per atom. For the magnetic moment, the calculation gives 0.293 μB per atom. The energy of formation is 0.95 eV per formula unit. The theoretical density is 7.1 Mg/m³.

a b c (Å): 6.060 8.837 3.200
angles (deg): 90.00 90.00 90.00
Space group Cmmm (No. 65)
Unique sites:
Ca1 0.000 0.000 0.000 (multiplicity 2)
In1 0.250 0.250 0.500 (multiplicity 4)
Tc1 0.000 0.500 0.000 (multiplicity 2)

Record 17
First-principles (PBE) data for K2TcN2 after structural relaxation, as listed in Alexandria via LeMat-Bulk.

The density of states at the Fermi level comes out at 1.4 states/eV/f.u. Its total DFT energy (no corrections) is -5.942 eV per atom. For the magnetic moment, the calculation gives 0.000 μB per atom. The theoretical density is 3.2 Mg/m³. For the uncorrected formation energy, the calculation gives -9.6 kJ/mol of atoms.

a b c (Å): 3.505 19.628 6.130
angles (deg): 90.00 90.00 90.00
Space group Cmc2_1 (No. 36)
Unique sites:
K1 0.000 0.027 0.000 (multiplicity 4)
K2 0.000 0.195 0.141 (multiplicity 4)
Tc1 0.000 0.372 0.077 (multiplicity 4)
N1 0.000 0.147 0.693 (multiplicity 4)
N2 0.000 0.412 0.826 (multiplicity 4)

Record 18
First-principles (PBE) data for SrRuCl2 after structural relaxation, as listed in Alexandria via LeMat-Bulk.

The offset from the most stable computed form comes out at 112 meV per atom. The density of states at the Fermi level comes out at 1.0 states/eV/f.u. Its total DFT energy (no corrections) is -4.290 eV per atom. For the magnetic moment, the calculation gives 0.000 μB per atom. The theoretical density is 4.8 Mg/m³. For the uncorrected formation energy, the calculation gives -60.6 kJ/mol of atoms.

a b c (Å): 6.391 7.264 3.890
angles (deg): 90.00 90.00 90.00
Space group Cmmm (No. 65)
Unique sites:
Sr1 0.000 0.000 0.000 (multiplicity 2)
Ru1 0.000 0.500 0.000 (multiplicity 2)
Cl1 0.000 0.300 0.500 (multiplicity 4)

Record 19
First-principles (PBE) data for Sm4YHo3 after structural relaxation, as listed in Alexandria via LeMat-Bulk.

The offset from the most stable computed form comes out at 180 meV per atom. The density of states at the Fermi level comes out at 11.9 states/eV/f.u. Its total DFT energy (no corrections) is -4.684 eV per atom. For the magnetic moment, the calculation gives 0.000 μB per atom. The energy of formation is 1.60 eV per formula unit. The theoretical density is 7.4 Mg/m³.

a b c (Å): 5.674 25.943 3.624
angles (deg): 90.00 90.00 90.00
Space group Cmmm (No. 65)
Unique sites:
Sm1 0.000 0.104 0.000 (multiplicity 4)
Sm2 0.000 0.223 0.000 (multiplicity 4)
Y1 0.000 0.000 0.500 (multiplicity 2)
Ho1 0.000 0.349 0.500 (multiplicity 4)
Ho2 0.000 0.500 0.000 (multiplicity 2)

Record 20
First-principles (PBE) data for TaCrIn2 after structural relaxation, as listed in Alexandria via LeMat-Bulk.

The offset from the most stable computed form comes out at 77 meV per atom. The density of states at the Fermi level comes out at 3.4 states/eV/f.u. Its total DFT energy (no corrections) is -6.363 eV per atom. For the magnetic moment, the calculation gives 0.828 μB per atom. The energy of formation is 1.50 eV per formula unit. The theoretical density is 10.0 Mg/m³.

a b c (Å): 5.865 8.744 2.996
angles (deg): 90.00 90.00 90.00
Space group Cmmm (No. 65)
Unique sites:
Ta1 0.000 0.000 0.000 (multiplicity 2)
Cr1 0.000 0.500 0.000 (multiplicity 2)
In1 0.250 0.250 0.500 (multiplicity 4)